Density functional theory data (GGA-PBE) for crystalline Si2Au at its relaxed geometry.

Properties
As for the crystal system: cubic. As for the distance to the lowest polymorph of the same formula: 0.00 eV per formula unit.

Cell lengths 6.075, 6.075, 6.075 Å; angles 90.00, 90.00, 90.00 degrees
Element x y z (fractional)
Si1 0.250 0.250 0.250
Si2 0.250 0.250 0.750
Si3 0.250 0.750 0.250
Si4 0.250 0.750 0.750
Si5 0.750 0.250 0.250
Si6 0.750 0.250 0.750
Si7 0.750 0.750 0.250
Si8 0.750 0.750 0.750
Au1 0.000 0.000 0.000
Au2 0.000 0.500 0.500
Au3 0.500 0.000 0.500
Au4 0.500 0.500 0.000